[1]
VASP calculation (PBE) on a relaxed Cs3CaTm2Se6 crystal.

Cell lengths 7.4028, 7.4028, 8.7160 Å; angles 98.14, 98.14, 120.01 degrees
Closest atoms and distances in Å follow each position.
Atoms (fractional coordinates):
Cs 0.1630 0.8370 0.5000  6 Se 3.57-3.64
Cs 0.8370 0.1630 0.5000  6 Se 3.57-3.64
Cs 0.5000 0.5000 0.5000  6 Se 3.55-3.64
Ca 0.0000 0.0000 0.0000  6 Se 2.99-3.00
Tm 0.3330 0.6670 0.0000  6 Se 2.87
Tm 0.6670 0.3330 0.0000  6 Se 2.87
Se 0.9382 0.5911 0.8147  2 Tm 2.87, 1 Ca 3.00
Se 0.7144 0.7144 0.1835  2 Tm 2.87, 1 Ca 2.99
Se 0.0618 0.4089 0.1853  2 Tm 2.87, 1 Ca 3.00
Se 0.5911 0.9382 0.8147  2 Tm 2.87, 1 Ca 3.00
Se 0.2856 0.2856 0.8165  2 Tm 2.87, 1 Ca 2.99
Se 0.4089 0.0618 0.1853  2 Tm 2.87, 1 Ca 3.00

calculated density	5.2	g cm⁻³
DOS(E_F)	0.798	states/eV per atom
uncorrected energy	-53.2	eV per cell
formation energy from raw total energies	-1.570	eV/atom
symmetry	C2/m, No. 12

=====

[2]
VASP calculation (PBE) on a relaxed Tb3Cu2Si6Pd crystal.

Cell lengths 5.7586, 5.7586, 7.8090 Å; angles 90.00, 90.00, 120.00 degrees
Closest atoms and distances in Å follow each position.
Atoms (fractional coordinates):
Tb 0.3333 0.6667 0.6230  9 Si 2.99-3.02, 1 Cu 3.10
Tb 0.6667 0.3333 0.3770  9 Si 2.99-3.02, 1 Cu 3.10
Tb 0.0000 0.0000 0.0000  6 Si 2.91
Cu 0.6667 0.3333 0.9800  3 Si 2.47
Cu 0.3333 0.6667 0.0200  3 Si 2.47
Si 0.6155 0.8078 0.2806  2 Si 2.44, 1 Cu 2.47, 1 Pd 2.57
Si 0.1922 0.3845 0.2806  2 Si 2.44, 1 Cu 2.47, 1 Pd 2.57
Si 0.1922 0.8078 0.2806  2 Si 2.44, 1 Cu 2.47, 1 Pd 2.57
Si 0.8078 0.6155 0.7194  2 Si 2.44, 1 Cu 2.47, 1 Pd 2.57
Si 0.3845 0.1922 0.7194  2 Si 2.44, 1 Cu 2.47, 1 Pd 2.57
Si 0.8078 0.1922 0.7194  2 Si 2.44, 1 Cu 2.47, 1 Pd 2.57
Pd 0.0000 0.0000 0.5000  6 Si 2.57

calculated density	6.5	g cm⁻³
DOS(E_F)	0.594	states/eV per atom
uncorrected energy	-63.9	eV per cell
formation energy from raw total energies	-0.338	eV/atom
symmetry	P-3m1, No. 164

=====

[3]
VASP calculation (PBE) on a relaxed LiEr2Ag crystal.

Cell lengths 3.3881, 3.3881, 10.3987 Å; angles 80.62, 80.62, 60.00 degrees
Closest atoms and distances in Å follow each position.
Atoms (fractional coordinates):
Li 0.5000 0.5000 0.5000  6 Er 3.34, 6 Li 3.39
Ag 0.0000 0.0000 0.0000  6 Er 3.10, 6 Ag 3.39
Er 0.2549 0.2549 0.2353  3 Ag 3.10, 3 Li 3.34, 6 Er 3.39
Er 0.7451 0.7451 0.7647  3 Ag 3.10, 3 Li 3.34, 6 Er 3.39

calculated density	7.3	g cm⁻³
DOS(E_F)	0.758	states/eV per atom
uncorrected energy	-13.6	eV per cell
energy above the most stable polymorph in this dataset	186	meV per atom
energy of formation	0.072	eV per atom
symmetry	R-3m, No. 166

=====

[4]
VASP calculation (PBE) on a relaxed NaMn2N2 crystal.

Cell lengths 3.8356, 3.8356, 5.4802 Å; angles 69.52, 69.52, 90.00 degrees
Closest atoms and distances in Å follow each position.
Atoms (fractional coordinates):
Na 0.0000 0.0000 0.0000  2 Mn 2.82, 8 N 3.06
Mn 0.2962 0.2962 0.4076  4 N 1.97
Mn 0.7038 0.7038 0.5924  4 N 1.97
N 0.7500 0.2500 0.5000  4 Mn 1.97
N 0.2500 0.7500 0.5000  4 Mn 1.97

calculated density	3.8	g cm⁻³
DOS(E_F)	0.220	states/eV per atom
uncorrected energy	-36.8	eV per cell
formation energy from raw total energies	-0.092	eV/atom
energy above the most stable polymorph in this dataset	34	meV per atom
symmetry	I4/mmm, No. 139